Crystalline InCo2Mo at its relaxed geometry. Source: Alexandria via LeMat-Bulk, functional GGA-PBE.

Computed properties:
- Space group: P4/mmm
- Crystal system: tetragonal
- Energy relative to the elements: 1.001 eV per formula unit

a b c (Å): 4.3478 4.3478 3.0341
angles (deg): 90.00 90.00 90.00
Each line ends with the local moment (μB).
Atoms (fractional coordinates):
Co: 0.0000 0.0000 0.0000  1.18
Co: 0.5000 0.5000 0.0000  1.18
In: 0.5000 0.0000 0.5000  -0.05
Mo: 0.0000 0.5000 0.5000  0.68